7
Lattice="0.913 -1.329 -4.118 -2.540 -2.465 2.651 -5.290 4.908 -0.284" Properties=species:S:1:pos:R:3 comment="Mg3Ga2Rh2 (PBE-GGA, relaxed)" space_group=C2/m m_tot_mub_per_fu=0.0 ef_mev_per_atom=-416.4 total_energy_ha_per_atom=-0.1494 pbc="T T T"
Mg 0.000 0.000 0.000
Mg -4.641 -0.207 -0.858
Mg -2.276 1.321 -0.892
Ga -2.284 -1.565 0.039
Ga -4.633 2.679 -1.789
Rh -5.371 2.061 0.628
Rh -1.546 -0.947 -2.379



5
Lattice="-2.573 -0.980 4.409 -1.692 -4.495 -1.987 4.186 -2.418 1.906" Properties=species:S:1:pos:R:3 comment="LaTlS2Cl (PBE-GGA, relaxed)" space_group=P4/mmm polymorph_energy_ev_per_atom=0.4896 m_tot_mub_per_fu=0.3 raw_formation_energy_ev_per_atom=-0.65 total_energy_ha_per_atom=-0.1516 pbc="T T T"
Tl 0.000 0.000 0.000
Cl 2.093 -1.209 0.953
S -0.846 -2.248 -0.993
S -1.287 -0.490 2.204
La -0.040 -3.947 2.164



10
Lattice="-6.741 -2.333 2.841 -0.311 -3.364 6.896 -3.083 3.279 5.734" Properties=species:S:1:pos:R:3 comment="K2AgIrBr6 (PBE-GGA, relaxed)" space_group=P-1 m_tot_mub_per_fu=0.0 raw_formation_energy_ev_per_atom=-0.83 total_energy_ha_per_atom=-0.1184 pbc="T T T"
K -4.918 -2.264 7.228
K -2.943 2.280 5.254
Ag -7.456 -2.841 11.109
Ir -2.389 -1.633 3.374
Br -4.578 -0.783 4.325
Br -1.981 0.591 2.228
Br -1.145 -0.839 5.434
Br -5.879 -0.577 10.254
Br -6.715 0.853 7.048
Br -3.282 0.797 8.157



4
Lattice="10.871 0.030 0.029 10.438 3.039 0.029 0.794 0.114 4.183" Properties=species:S:1:pos:R:3 comment="K2TaRe (PBE-GGA, relaxed)" space_group=C2/m polymorph_energy_ev_per_atom=0.0972 m_tot_mub_per_fu=0.3 ef_mev_per_atom=809.6 total_energy_ha_per_atom=-0.2137 pbc="T T T"
K 2.840 0.409 3.749
K 9.006 1.297 2.556
Re 16.577 2.388 3.182
Ta 5.526 0.796 1.061